No. 1
The following is a PBE calculation of a geometry-optimized YHoHgRu structure, from Alexandria.

abc: 7.105 7.105 7.105
angles: 90.00 90.00 90.00
Space group F-43m (No. 216)
Asymmetric unit:
Y 0.000 0.000 0.000
Ho 0.000 0.000 0.500
Hg 0.250 0.250 0.250
Ru 0.250 0.250 0.750

- relative energy among the computed polymorphs (eV/atom) = 0.121

***

No. 2
The following is a PBE calculation of a geometry-optimized YHoHgRu structure, from Alexandria.

abc: 3.479 3.479 7.481
angles: 90.00 90.00 90.00
Space group P4mm (No. 99)
Asymmetric unit:
Y 0.000 0.000 0.000
Ho 0.000 0.000 0.558
Hg 0.500 0.500 0.281
Ru 0.500 0.500 0.775

- relative energy among the computed polymorphs (eV/atom) = 0.000

***

Number 1: ΔE_f -141 kJ/mol of formula units. Number 2: ΔE_f -188 kJ/mol of formula units.